DFT (PBE) results for a relaxed SrTmCuPd crystal.

Structure (POSCAR):
```
SrTmCuPd
1.0
-4.1683 0.1560 2.8782
0.3865 -0.3550 5.0406
-0.9242 4.0494 2.9036
Sr Tm Cu Pd
1 1 1 1
Cartesian
-2.3530 1.9252 5.4112 Sr
0.0000 0.0000 0.0000 Tm
-1.1765 0.9626 2.7056 Cu
-3.5295 2.8878 8.1168 Pd
```

Results
uncorrected energy: -16.76 eV per cell
energy of formation: -0.33 eV per atom